Here is an optimized crystal structure of Ba2TePt from the Alexandria database. Energies are from GGA-PBE.

The space group is Amm2 (No. 38) and the conventional cell measures 5.092, 4.506 and 12.768 Å, with angles of 90.00, 90.00 and 90.00 degrees. The asymmetric unit holds Ba at (0.000, 0.000, 0.000), Ba at (0.500, 0.000, 0.269), Te at (0.500, 0.000, 0.547) and Pt at (0.000, 0.000, 0.756).

The uncorrected formation energy is -25.7 kcal/mol of atoms. For the magnetic moment, the calculation gives 0.0 μB per formula unit.